## ZrPa2Nb3N6 (PBE-GGA)

Data for a geometry-optimized ZrPa2Nb3N6 structure.

a = 5.7503 Å, b = 9.9402 Å, c = 5.6049 Å
α = 90.00°, β = 110.05°, γ = 90.00°
Space group C2/m (No. 12)
Unique sites:
Zr 0.0000 0.0000 0.0000 (multiplicity 2)
Pa 0.0000 0.3333 0.0000 (multiplicity 4)
Nb 0.0000 0.1599 0.5000 (multiplicity 4)
Nb 0.0000 0.5000 0.5000 (multiplicity 2)
N 0.2425 0.0000 0.7382 (multiplicity 4)
N 0.2469 0.3350 0.7342 (multiplicity 8)


## Zr3Pa2NbN6 (PBE-GGA)

Data for a geometry-optimized Zr3Pa2NbN6 structure.

a = 5.7184 Å, b = 9.9157 Å, c = 5.8428 Å
α = 90.00°, β = 108.90°, γ = 90.00°
Space group C2/m (No. 12)
Unique sites:
Zr 0.0000 0.0000 0.0000 (multiplicity 2)
Zr 0.0000 0.3397 0.0000 (multiplicity 4)
Pa 0.0000 0.1667 0.5000 (multiplicity 4)
Nb 0.0000 0.5000 0.5000 (multiplicity 2)
N 0.2443 0.5000 0.2415 (multiplicity 4)
N 0.2481 0.1657 0.2391 (multiplicity 8)


## NbPb2N (PBE-GGA)

Data for a geometry-optimized NbPb2N structure.

a = 7.0869 Å, b = 7.0869 Å, c = 6.4689 Å
α = 90.00°, β = 90.00°, γ = 90.00°
Space group I-42d (No. 122)
Unique sites:
Nb 0.0000 0.0000 0.0000 (multiplicity 4)
Pb 0.1843 0.2500 0.6250 (multiplicity 8)
N 0.0000 0.0000 0.5000 (multiplicity 4)


## Nb2PbN (PBE-GGA)

Data for a geometry-optimized Nb2PbN structure.

a = 6.4603 Å, b = 6.4603 Å, c = 6.4603 Å
α = 90.00°, β = 90.00°, γ = 90.00°
Space group Fm-3m (No. 225)
Unique sites:
Nb 0.2500 0.2500 0.2500 (multiplicity 8)
Pb 0.0000 0.0000 0.0000 (multiplicity 4)
N 0.0000 0.0000 0.5000 (multiplicity 4)


## Nb3Pb3N5 (PBE-GGA)

Data for a geometry-optimized Nb3Pb3N5 structure.

a = 6.3654 Å, b = 8.0144 Å, c = 9.2209 Å
α = 105.27°, β = 96.01°, γ = 103.81°
Space group P-1 (No. 2)
Unique sites:
Nb 0.0790 0.1976 0.0378 (multiplicity 2)
Nb 0.0992 0.4230 0.7124 (multiplicity 2)
Nb 0.3290 0.5126 0.3769 (multiplicity 2)
Pb 0.2514 0.0394 0.4852 (multiplicity 2)
Pb 0.4723 0.8501 0.7806 (multiplicity 2)
Pb 0.4852 0.7076 0.1254 (multiplicity 2)
N 0.0334 0.3714 0.2281 (multiplicity 2)
N 0.1398 0.3120 0.8757 (multiplicity 2)
N 0.1842 0.7101 0.4181 (multiplicity 2)
N 0.2015 0.9834 0.0360 (multiplicity 2)
N 0.3229 0.4463 0.5698 (multiplicity 2)


## Nb2PbN (PBE-GGA)

Data for a geometry-optimized Nb2PbN structure.

a = 5.4971 Å, b = 5.4971 Å, c = 11.1947 Å
α = 90.00°, β = 90.00°, γ = 90.00°
Space group I-42d (No. 122)
Unique sites:
Nb 0.0998 0.2500 0.1250 (multiplicity 8)
Pb 0.0000 0.0000 0.5000 (multiplicity 4)
N 0.0000 0.0000 0.0000 (multiplicity 4)


## Nb2RhPbN (PBE-GGA)

Data for a geometry-optimized Nb2RhPbN structure.

a = 5.1242 Å, b = 5.1242 Å, c = 3.6863 Å
α = 90.00°, β = 90.00°, γ = 90.00°
Space group P4/mmm (No. 123)
Unique sites:
Nb 0.0000 0.5000 0.0000 (multiplicity 2)
Rh 0.0000 0.0000 0.0000 (multiplicity 1)
Pb 0.5000 0.5000 0.5000 (multiplicity 1)
N 0.0000 0.0000 0.5000 (multiplicity 1)


## NbPbS2N (PBE-GGA)

Data for a geometry-optimized NbPbS2N structure.

Polymorph energy (0 for the lowest one) ... 1807 meV/atom

a = 5.1247 Å, b = 5.1247 Å, c = 4.0992 Å
α = 90.00°, β = 90.00°, γ = 90.00°
Space group P4/mmm (No. 123)
Unique sites:
Nb 0.0000 0.0000 0.0000 (multiplicity 1)
Pb 0.5000 0.5000 0.5000 (multiplicity 1)
S 0.0000 0.5000 0.5000 (multiplicity 2)
N 0.5000 0.5000 0.0000 (multiplicity 1)


## NbPbS2N (PBE-GGA)

Data for a geometry-optimized NbPbS2N structure.

Polymorph energy (0 for the lowest one) ... 0 meV/atom

a = 5.0228 Å, b = 5.0228 Å, c = 3.9602 Å
α = 90.00°, β = 90.00°, γ = 90.00°
Space group P4/mmm (No. 123)
Unique sites:
Nb 0.0000 0.0000 0.0000 (multiplicity 1)
Pb 0.5000 0.5000 0.5000 (multiplicity 1)
S 0.0000 0.5000 0.0000 (multiplicity 2)
N 0.0000 0.0000 0.5000 (multiplicity 1)


## Sc2NbPbN (PBE-GGA)

Data for a geometry-optimized Sc2NbPbN structure.

a = 4.5982 Å, b = 4.5982 Å, c = 4.2087 Å
α = 90.00°, β = 90.00°, γ = 90.00°
Space group P4/mmm (No. 123)
Unique sites:
Sc 0.0000 0.5000 0.0000 (multiplicity 2)
Nb 0.0000 0.0000 0.5000 (multiplicity 1)
Pb 0.5000 0.5000 0.5000 (multiplicity 1)
N 0.0000 0.0000 0.0000 (multiplicity 1)


## NbPbSeN2 (PBE-GGA)

Data for a geometry-optimized NbPbSeN2 structure.

a = 4.2074 Å, b = 4.2074 Å, c = 5.3656 Å
α = 90.00°, β = 90.00°, γ = 90.00°
Space group P4/mmm (No. 123)
Unique sites:
Nb 0.0000 0.0000 0.0000 (multiplicity 1)
Pb 0.5000 0.5000 0.5000 (multiplicity 1)
Se 0.5000 0.5000 0.0000 (multiplicity 1)
N 0.0000 0.5000 0.5000 (multiplicity 2)


## NbPbSe2N (PBE-GGA)

Data for a geometry-optimized NbPbSe2N structure.

Polymorph energy (0 for the lowest one) ... 1610 meV/atom

a = 5.4695 Å, b = 5.4695 Å, c = 4.0936 Å
α = 90.00°, β = 90.00°, γ = 90.00°
Space group P4/mmm (No. 123)
Unique sites:
Nb 0.0000 0.0000 0.0000 (multiplicity 1)
Pb 0.5000 0.5000 0.5000 (multiplicity 1)
Se 0.0000 0.5000 0.5000 (multiplicity 2)
N 0.5000 0.5000 0.0000 (multiplicity 1)


no.,ΔE_f (raw) (eV/atom)
1,-1.3301
2,-1.5558
3,0.9983
4,0.9858
5,-0.2672
6,0.1492
7,0.8835
8,1.4499
9,-0.3569
10,-0.7518
11,1.8710
12,1.3397